No. 1
DFT (GGA-PBE) results for a relaxed structure of TeOsSeBr2.

Energy above the lowest structure with this stoichiometry ... 0 meV/atom
Total moment ... 0.0 μB/f.u.
Raw formation energy ... 0.569 eV/atom

Lattice parameters (Å, degrees): 5.1102 5.1102 4.7983 90.00 90.00 90.00
Space group P4/mmm (No. 123)
One atom of each set of equivalent atoms:
Te (0.0000, 0.0000, 0.0000) x1
Os (0.5000, 0.5000, 0.5000) x1
Se (0.5000, 0.5000, 0.0000) x1
Br (0.0000, 0.5000, 0.5000) x2

***

No. 2
DFT (GGA-PBE) results for a relaxed structure of Th6Os3Se2Br.

Total moment ... 0.0 μB/f.u.
Raw formation energy ... -0.940 eV/atom

Lattice parameters (Å, degrees): 19.1462 4.1482 8.8727 90.00 108.57 90.00
Space group C2/m (No. 12)
One atom of each set of equivalent atoms:
Th (0.0089, 0.0000, 0.2171) x4
Th (0.1591, 0.5000, 0.1053) x4
Th (0.1799, 0.5000, 0.5623) x4
Os (0.0000, 0.5000, 0.0000) x2
Os (0.1660, 0.0000, 0.3325) x4
Se (0.1647, 0.0000, 0.8298) x4
Br (0.0000, 0.5000, 0.5000) x2

***

No. 3
DFT (GGA-PBE) results for a relaxed structure of TiOsSe2Br.

Energy above the lowest structure with this stoichiometry ... 0 meV/atom
Total moment ... 0.1 μB/f.u.
Raw formation energy ... 0.748 eV/atom

Lattice parameters (Å, degrees): 4.8561 4.8561 5.0223 90.00 90.00 90.00
Space group P4/mmm (No. 123)
One atom of each set of equivalent atoms:
Ti (0.0000, 0.0000, 0.0000) x1
Os (0.5000, 0.5000, 0.5000) x1
Se (0.0000, 0.5000, 0.5000) x2
Br (0.5000, 0.5000, 0.0000) x1

***

No. 4
DFT (GGA-PBE) results for a relaxed structure of TiOsSeBr2.

Energy above the lowest structure with this stoichiometry ... 0 meV/atom
Total moment ... 4.8 μB/f.u.
Raw formation energy ... 0.770 eV/atom

Lattice parameters (Å, degrees): 5.0830 5.0830 4.9880 90.00 90.00 90.00
Space group P4/mmm (No. 123)
One atom of each set of equivalent atoms:
Ti (0.0000, 0.0000, 0.0000) x1
Os (0.5000, 0.5000, 0.5000) x1
Se (0.0000, 0.0000, 0.5000) x1
Br (0.0000, 0.5000, 0.0000) x2

***

No. 5
DFT (GGA-PBE) results for a relaxed structure of TiOsSeBr2.

Energy above the lowest structure with this stoichiometry ... 36 meV/atom
Total moment ... 0.2 μB/f.u.
Raw formation energy ... 0.806 eV/atom

Lattice parameters (Å, degrees): 5.1745 5.1745 4.7167 90.00 90.00 90.00
Space group P4/mmm (No. 123)
One atom of each set of equivalent atoms:
Ti (0.0000, 0.0000, 0.0000) x1
Os (0.5000, 0.5000, 0.5000) x1
Se (0.5000, 0.5000, 0.0000) x1
Br (0.0000, 0.5000, 0.5000) x2

***

No. 6
DFT (GGA-PBE) results for a relaxed structure of TlOs2SeBr.

Total moment ... 2.3 μB/f.u.
Raw formation energy ... 1.311 eV/atom

Lattice parameters (Å, degrees): 4.5564 4.5564 7.7228 90.00 90.00 90.00
Space group P4/mmm (No. 123)
One atom of each set of equivalent atoms:
Tl (0.0000, 0.0000, 0.0000) x1
Os (0.0000, 0.5000, 0.5000) x2
Se (0.0000, 0.0000, 0.5000) x1
Br (0.5000, 0.5000, 0.0000) x1